1.
Material: CaLaAs4
Method: DFT, PBE-GGA
State: relaxed

Structure (CIF):
```
data_CaLaAs4
_cell_length_a 8.211
_cell_length_b 8.211
_cell_length_c 8.211
_cell_angle_alpha 90.00
_cell_angle_beta 90.00
_cell_angle_gamma 90.00
_space_group_name_H-M_alt 'F -4 3 m'
_space_group_IT_number 216
_space_group_name_Hall 'F -4 2 3'
loop_
_atom_site_label
_atom_site_fract_x
_atom_site_fract_y
_atom_site_fract_z
Ca1 0.000 0.000 0.000
La1 0.250 0.250 0.750
As1 0.126 0.126 0.374
```

2.
Material: CaLaAs2
Method: DFT, PBE-GGA
State: relaxed

Structure (CIF):
```
data_CaLaAs2
_cell_length_a 4.333
_cell_length_b 4.333
_cell_length_c 6.087
_cell_angle_alpha 90.00
_cell_angle_beta 90.00
_cell_angle_gamma 90.00
_space_group_name_H-M_alt 'P 4/m m m'
_space_group_IT_number 123
_space_group_name_Hall '-P 4 2'
loop_
_atom_site_label
_atom_site_fract_x
_atom_site_fract_y
_atom_site_fract_z
Ca1 0.000 0.000 0.000
La1 0.500 0.500 0.500
As1 0.000 0.000 0.500
As2 0.500 0.500 0.000
```

3.
Material: Ca2LaAs
Method: DFT, PBE-GGA
State: relaxed

Structure (CIF):
```
data_Ca2LaAs
_cell_length_a 9.746
_cell_length_b 9.746
_cell_length_c 6.128
_cell_angle_alpha 90.00
_cell_angle_beta 90.00
_cell_angle_gamma 90.00
_space_group_name_H-M_alt 'I -4 2 d'
_space_group_IT_number 122
_space_group_name_Hall 'I -4 2bw'
loop_
_atom_site_label
_atom_site_fract_x
_atom_site_fract_y
_atom_site_fract_z
Ca1 0.151 0.250 0.125
La1 0.000 0.000 0.500
As1 0.000 0.000 0.000
```

4.
Material: Ca2LaAs
Method: DFT, PBE-GGA
State: relaxed

Structure (CIF):
```
data_Ca2LaAs
_cell_length_a 6.396
_cell_length_b 12.232
_cell_length_c 4.540
_cell_angle_alpha 90.00
_cell_angle_beta 134.49
_cell_angle_gamma 90.00
_space_group_name_H-M_alt 'C 1 2/m 1'
_space_group_IT_number 12
loop_
_space_group_symop_operation_xyz
'x,y,z'
'-x,-y,-z'
'-x,y,-z'
'x,-y,z'
'x+1/2,y+1/2,z'
'-x+1/2,-y+1/2,-z'
'-x+1/2,y+1/2,-z'
'x+1/2,-y+1/2,z'
loop_
_atom_site_label
_atom_site_fract_x
_atom_site_fract_y
_atom_site_fract_z
Ca1 0.250 0.250 0.000
La1 0.000 0.000 0.500
As1 0.000 0.500 0.500
```

| no. | DFT formation energy (eV/f.u.) | raw total energy (eV/atom) |
| --- | --- | --- |
| 1 | -2.903 | -4.74 |
| 2 | -4.725 | -5.24 |
| 3 | -1.688 | -3.82 |
| 4 | -1.273 | -3.71 |